DFT (GGA-PBE) results for an optimized crystal structure of Mn2InAu.

Results
The mass density comes out at 9.16 g/cm³. As for the crystal system: tetragonal. The formation energy comes out at 40 kJ/mol of atoms. Its space group is I-42d, No. 122.

Cell: 5.923 5.923 5.923 Å, 103.02 103.02 123.33°
Sites, in units of the cell vectors:
Mn 0.107 0.125 0.482
Mn 0.375 0.893 0.018
Mn 0.643 0.625 0.518
Mn 0.875 0.357 0.982
In 0.250 0.750 0.500
In 0.500 0.500 0.000
Au 0.000 0.000 0.000
Au 0.750 0.250 0.500